(1)
{
  "formula": "PuHf2Ga",
  "functional": "PBE",
  "state": "optimized geometry",
  "lattice_angstrom": [[3.223, 0.000, 0.000], [0.000, 3.223, 0.000], [0.000, 0.000, 8.160]],
  "species": ["Pu", "Hf", "Hf", "Ga"],
  "frac_coords": [[0.000, 0.000, 0.000], [0.500, 0.500, 0.278], [0.500, 0.500, 0.722], [0.000, 0.000, 0.500]],
  "spacegroup": "P4/mmm, No. 123",
  "formation_enthalpy_0k_mev_per_atom": -119,
  "vol_a3_per_atom": 21.2
}



(2)
{
  "formula": "Sb3CS",
  "functional": "PBE",
  "state": "optimized geometry",
  "lattice_angstrom": [[4.789, 0.000, 0.000], [0.000, 4.789, 0.000], [0.000, 0.000, 4.789]],
  "species": ["Sb", "Sb", "Sb", "C", "S"],
  "frac_coords": [[0.000, 0.000, 0.500], [0.000, 0.500, 0.000], [0.500, 0.000, 0.000], [0.000, 0.000, 0.000], [0.500, 0.500, 0.500]],
  "spacegroup": "Pm-3m, No. 221",
  "raw_formation_energy_mev_per_atom": 1098,
  "vol_a3_per_atom": 22.0
}



(3)
{
  "formula": "LiMgBe",
  "functional": "PBE",
  "state": "optimized geometry",
  "lattice_angstrom": [[2.849, 0.000, 0.000], [-1.424, 2.467, 0.000], [0.000, 0.000, 6.822]],
  "species": ["Li", "Mg", "Be"],
  "frac_coords": [[0.000, 0.000, 0.000], [0.333, 0.667, 0.379], [0.667, 0.333, 0.699]],
  "spacegroup": "P3m1, No. 156",
  "formation_enthalpy_0k_mev_per_atom": 349,
  "vol_a3_per_atom": 16.0
}



(4)
{
  "formula": "Ba2YSbAu",
  "functional": "PBE",
  "state": "optimized geometry",
  "lattice_angstrom": [[6.697, 0.000, 0.000], [0.000, 6.697, 0.000], [0.000, 0.000, 5.580]],
  "species": ["Ba", "Ba", "Y", "Sb", "Au"],
  "frac_coords": [[0.000, 0.500, 0.000], [0.500, 0.000, 0.000], [0.000, 0.000, 0.000], [0.000, 0.000, 0.500], [0.500, 0.500, 0.500]],
  "spacegroup": "P4/mmm, No. 123",
  "raw_formation_energy_mev_per_atom": 189,
  "vol_a3_per_atom": 50.1
}



(5)
{
  "formula": "Th2As4Rh3Au",
  "functional": "PBE",
  "state": "optimized geometry",
  "lattice_angstrom": [[4.422, 0.000, 0.000], [0.000, 4.422, 0.000], [0.000, 0.000, 9.836]],
  "species": ["Th", "Th", "As", "As", "As", "As", "Rh", "Rh", "Rh", "Au"],
  "frac_coords": [[0.000, 0.500, 0.244], [0.500, 0.000, 0.756], [0.000, 0.000, 0.000], [0.000, 0.500, 0.641], [0.500, 0.000, 0.359], [0.500, 0.500, 0.000], [0.000, 0.500, 0.886], [0.500, 0.000, 0.114], [0.500, 0.500, 0.500], [0.000, 0.000, 0.500]],
  "spacegroup": "P-4m2, No. 115",
  "formation_enthalpy_0k_mev_per_atom": -815,
  "vol_a3_per_atom": 19.2
}



(6)
{
  "formula": "La6Tb12Pm",
  "functional": "PBE",
  "state": "optimized geometry",
  "lattice_angstrom": [[6.724, 3.882, 4.256], [-6.724, 3.882, 4.256], [0.000, -7.765, 4.256]],
  "species": ["La", "La", "La", "La", "La", "La", "Tb", "Tb", "Tb", "Tb", "Tb", "Tb", "Tb", "Tb", "Tb", "Tb", "Tb", "Tb", "Pm"],
  "frac_coords": [[0.154, 0.595, 0.595], [0.405, 0.405, 0.846], [0.405, 0.846, 0.405], [0.595, 0.154, 0.595], [0.595, 0.595, 0.154], [0.846, 0.405, 0.405], [0.000, 0.255, 0.745], [0.000, 0.745, 0.255], [0.144, 0.144, 0.420], [0.144, 0.420, 0.144], [0.255, 0.000, 0.745], [0.255, 0.745, 0.000], [0.420, 0.144, 0.144], [0.580, 0.856, 0.856], [0.745, 0.000, 0.255], [0.745, 0.255, 0.000], [0.856, 0.580, 0.856], [0.856, 0.856, 0.580], [0.500, 0.500, 0.500]],
  "spacegroup": "R-3m, No. 166",
  "formation_enthalpy_0k_mev_per_atom": 211,
  "vol_a3_per_atom": 35.1
}



(7)
{
  "formula": "AcNdP",
  "functional": "PBE",
  "state": "optimized geometry",
  "lattice_angstrom": [[-1.867, 1.867, 6.710], [1.867, -1.867, 6.710], [1.867, 1.867, -6.710]],
  "species": ["Ac", "Nd", "P"],
  "frac_coords": [[0.000, 0.000, 0.000], [0.249, 0.249, 0.000], [0.637, 0.637, 0.000]],
  "spacegroup": "I4mm, No. 107",
  "formation_enthalpy_0k_mev_per_atom": -697,
  "vol_a3_per_atom": 31.2
}



(8)
{
  "formula": "U8CrS17",
  "functional": "PBE",
  "state": "optimized geometry",
  "lattice_angstrom": [[6.579, -4.163, 0.000], [6.579, 4.163, 0.000], [-2.070, 0.000, 10.136]],
  "species": ["U", "U", "U", "U", "U", "U", "U", "U", "Cr", "S", "S", "S", "S", "S", "S", "S", "S", "S", "S", "S", "S", "S", "S", "S", "S", "S"],
  "frac_coords": [[0.181, 0.697, 0.799], [0.204, 0.204, 0.956], [0.303, 0.819, 0.201], [0.319, 0.319, 0.483], [0.681, 0.681, 0.517], [0.697, 0.181, 0.799], [0.796, 0.796, 0.044], [0.819, 0.303, 0.201], [0.000, 0.000, 0.500], [0.000, 0.000, 0.000], [0.055, 0.678, 0.530], [0.056, 0.056, 0.727], [0.180, 0.567, 0.036], [0.214, 0.214, 0.221], [0.300, 0.300, 0.743], [0.322, 0.945, 0.470], [0.433, 0.820, 0.964], [0.480, 0.480, 0.331], [0.520, 0.520, 0.669], [0.567, 0.180, 0.036], [0.678, 0.055, 0.530], [0.700, 0.700, 0.257], [0.786, 0.786, 0.779], [0.820, 0.433, 0.964], [0.944, 0.944, 0.273], [0.945, 0.322, 0.470]],
  "spacegroup": "C2/m, No. 12",
  "raw_formation_energy_mev_per_atom": -1377,
  "vol_a3_per_atom": 21.4
}



(9)
{
  "formula": "NaCaAu2",
  "functional": "PBE",
  "state": "optimized geometry",
  "lattice_angstrom": [[0.000, 3.581, 3.581], [3.581, 0.000, 3.581], [3.581, 3.581, 0.000]],
  "species": ["Na", "Ca", "Au", "Au"],
  "frac_coords": [[0.000, 0.000, 0.000], [0.500, 0.500, 0.500], [0.250, 0.250, 0.250], [0.750, 0.750, 0.750]],
  "spacegroup": "Fm-3m, No. 225",
  "formation_enthalpy_0k_mev_per_atom": -579,
  "vol_a3_per_atom": 23.0
}



(10)
{
  "formula": "AcTlOs2O8",
  "functional": "PBE",
  "state": "optimized geometry",
  "lattice_angstrom": [[6.228, 0.000, 0.000], [-3.114, 5.393, 0.000], [0.000, 0.000, 8.013]],
  "species": ["Ac", "Tl", "Os", "Os", "O", "O", "O", "O", "O", "O", "O", "O"],
  "frac_coords": [[0.000, 0.000, 0.000], [0.000, 0.000, 0.500], [0.333, 0.667, 0.282], [0.667, 0.333, 0.718], [0.172, 0.821, 0.199], [0.179, 0.351, 0.199], [0.333, 0.667, 0.502], [0.351, 0.172, 0.801], [0.649, 0.828, 0.199], [0.667, 0.333, 0.498], [0.821, 0.649, 0.801], [0.828, 0.179, 0.801]],
  "spacegroup": "P-3, No. 147",
  "raw_formation_energy_mev_per_atom": -1378,
  "vol_a3_per_atom": 22.4
}



(11)
{
  "formula": "Ni2TeW",
  "functional": "PBE",
  "state": "optimized geometry",
  "lattice_angstrom": [[3.239, 0.000, 0.000], [0.000, 3.239, 0.000], [0.000, 0.000, 5.694]],
  "species": ["Ni", "Ni", "Te", "W"],
  "frac_coords": [[0.000, 0.000, 0.000], [0.500, 0.500, 0.205], [0.000, 0.000, 0.461], [0.500, 0.500, 0.760]],
  "spacegroup": "P4mm, No. 99",
  "raw_formation_energy_mev_per_atom": 344,
  "vol_a3_per_atom": 14.9
}



(12)
{
  "formula": "Er4Al3Hg",
  "functional": "PBE",
  "state": "optimized geometry",
  "lattice_angstrom": [[3.551, 0.000, 0.000], [0.000, 3.551, 0.000], [0.000, 0.000, 14.781]],
  "species": ["Er", "Er", "Er", "Er", "Al", "Al", "Al", "Hg"],
  "frac_coords": [[0.000, 0.000, 0.121], [0.000, 0.000, 0.364], [0.000, 0.000, 0.636], [0.000, 0.000, 0.879], [0.500, 0.500, 0.000], [0.500, 0.500, 0.243], [0.500, 0.500, 0.757], [0.500, 0.500, 0.500]],
  "spacegroup": "P4/mmm, No. 123",
  "formation_enthalpy_0k_mev_per_atom": -412,
  "vol_a3_per_atom": 23.3
}



(13)
{
  "formula": "TcRuNF2",
  "functional": "PBE",
  "state": "optimized geometry",
  "lattice_angstrom": [[4.311, 0.000, 0.000], [0.000, 4.311, 0.000], [0.000, 0.000, 3.734]],
  "species": ["Tc", "Ru", "N", "F", "F"],
  "frac_coords": [[0.000, 0.000, 0.000], [0.500, 0.500, 0.500], [0.500, 0.500, 0.000], [0.000, 0.500, 0.500], [0.500, 0.000, 0.500]],
  "spacegroup": "P4/mmm, No. 123",
  "raw_formation_energy_mev_per_atom": 210,
  "vol_a3_per_atom": 13.9
}



(14)
{
  "formula": "SmThMgAu",
  "functional": "PBE",
  "state": "optimized geometry",
  "lattice_angstrom": [[0.000, 3.758, 3.758], [3.758, 0.000, 3.758], [3.758, 3.758, 0.000]],
  "species": ["Sm", "Th", "Mg", "Au"],
  "frac_coords": [[0.000, 0.000, 0.000], [0.500, 0.500, 0.500], [0.250, 0.250, 0.250], [0.750, 0.750, 0.750]],
  "spacegroup": "F-43m, No. 216",
  "formation_enthalpy_0k_mev_per_atom": -241,
  "vol_a3_per_atom": 26.5
}



(15)
{
  "formula": "Ho4ThSc15",
  "functional": "PBE",
  "state": "optimized geometry",
  "lattice_angstrom": [[4.710, 0.000, 0.000], [0.000, 4.710, 0.000], [0.000, 0.000, 23.482]],
  "species": ["Ho", "Ho", "Ho", "Ho", "Th", "Sc", "Sc", "Sc", "Sc", "Sc", "Sc", "Sc", "Sc", "Sc", "Sc", "Sc", "Sc", "Sc", "Sc", "Sc"],
  "frac_coords": [[0.000, 0.000, 0.100], [0.000, 0.000, 0.300], [0.000, 0.000, 0.700], [0.000, 0.000, 0.900], [0.000, 0.000, 0.500], [0.000, 0.500, 0.000], [0.000, 0.500, 0.200], [0.000, 0.500, 0.400], [0.000, 0.500, 0.600], [0.000, 0.500, 0.800], [0.500, 0.000, 0.000], [0.500, 0.000, 0.200], [0.500, 0.000, 0.400], [0.500, 0.000, 0.600], [0.500, 0.000, 0.800], [0.500, 0.500, 0.100], [0.500, 0.500, 0.299], [0.500, 0.500, 0.500], [0.500, 0.500, 0.701], [0.500, 0.500, 0.900]],
  "spacegroup": "P4/mmm, No. 123",
  "formation_enthalpy_0k_mev_per_atom": 51,
  "vol_a3_per_atom": 26.0
}



(16)
{
  "formula": "ScTaW",
  "functional": "PBE",
  "state": "optimized geometry",
  "lattice_angstrom": [[0.000, 2.350, 7.106], [1.672, 0.000, 7.106], [1.672, 2.350, 0.000]],
  "species": ["Sc", "Ta", "W"],
  "frac_coords": [[0.000, 0.000, 0.000], [0.317, 0.317, 0.683], [0.666, 0.666, 0.334]],
  "spacegroup": "Fmm2, No. 42",
  "formation_enthalpy_0k_mev_per_atom": 186,
  "vol_a3_per_atom": 18.6
}



(17)
{
  "formula": "PmDy2Br",
  "functional": "PBE",
  "state": "optimized geometry",
  "lattice_angstrom": [[1.749, 1.010, 11.497], [-1.749, 1.010, 11.497], [0.000, -2.019, 11.497]],
  "species": ["Pm", "Dy", "Dy", "Br"],
  "frac_coords": [[0.000, 0.000, 0.000], [0.098, 0.098, 0.098], [0.902, 0.902, 0.902], [0.500, 0.500, 0.500]],
  "spacegroup": "R-3m, No. 166",
  "raw_formation_energy_mev_per_atom": -238,
  "vol_a3_per_atom": 30.5
}



(18)
{
  "formula": "TlFeSn2Hg",
  "functional": "PBE",
  "state": "optimized geometry",
  "lattice_angstrom": [[4.971, 0.000, 0.000], [0.000, 4.971, 0.000], [0.000, 0.000, 5.207]],
  "species": ["Tl", "Fe", "Sn", "Sn", "Hg"],
  "frac_coords": [[0.000, 0.000, 0.000], [0.000, 0.000, 0.500], [0.000, 0.500, 0.500], [0.500, 0.000, 0.500], [0.500, 0.500, 0.000]],
  "spacegroup": "P4/mmm, No. 123",
  "formation_enthalpy_0k_mev_per_atom": 127,
  "vol_a3_per_atom": 25.7
}



(19)
{
  "formula": "NaAcHgAu",
  "functional": "PBE",
  "state": "optimized geometry",
  "lattice_angstrom": [[0.000, 3.815, 3.815], [3.815, 0.000, 3.815], [3.815, 3.815, 0.000]],
  "species": ["Na", "Ac", "Hg", "Au"],
  "frac_coords": [[0.000, 0.000, 0.000], [0.500, 0.500, 0.500], [0.250, 0.250, 0.250], [0.750, 0.750, 0.750]],
  "spacegroup": "F-43m, No. 216",
  "formation_enthalpy_0k_mev_per_atom": -482,
  "vol_a3_per_atom": 27.8
}